! MnNbSb2 | the Alexandria database | PBE-GGA | relaxed; values from VASP
! uncorrected formation energy = 0.311 eV/atom
&SYSTEM
  ibrav = 0, nat = 4, ntyp = 3
/
ATOMIC_SPECIES
Mn 54.94 Mn.upf
Sb 121.76 Sb.upf
Nb 92.91 Nb.upf
CELL_PARAMETERS angstrom
1.768 -2.909 3.233
-2.315 -3.921 1.147
1.693 -4.187 -1.284
ATOMIC_POSITIONS angstrom
Mn 0.000 0.000 0.000
Sb 0.860 -8.262 2.323
Nb 0.574 -5.508 1.548
Sb 0.287 -2.754 0.774

! Mn3NbSb | the Alexandria database | PBE-GGA | relaxed; values from VASP
! uncorrected formation energy = 1.735 eV/atom
! excess energy over the best structure of this formula in the dataset = 0.580 eV/atom
&SYSTEM
  ibrav = 0, nat = 5, ntyp = 3
/
ATOMIC_SPECIES
Mn 54.94 Mn.upf
Nb 92.91 Nb.upf
Sb 121.76 Sb.upf
CELL_PARAMETERS angstrom
4.509 0.000 0.000
0.000 4.509 0.000
0.000 0.000 4.509
ATOMIC_POSITIONS angstrom
Mn 0.000 2.254 0.000
Nb 2.254 2.254 2.254
Mn 2.254 0.000 0.000
Sb 0.000 0.000 0.000
Mn 0.000 0.000 2.254

! MnNbSb3 | the Alexandria database | PBE-GGA | relaxed; values from VASP
! uncorrected formation energy = 0.700 eV/atom
! excess energy over the best structure of this formula in the dataset = 0.000 eV/atom
&SYSTEM
  ibrav = 0, nat = 5, ntyp = 3
/
ATOMIC_SPECIES
Nb 92.91 Nb.upf
Sb 121.76 Sb.upf
Mn 54.94 Mn.upf
CELL_PARAMETERS angstrom
5.358 0.000 0.000
0.000 5.358 0.000
0.000 0.000 5.358
ATOMIC_POSITIONS angstrom
Nb 0.000 0.000 0.000
Sb 0.000 0.000 2.679
Sb 0.000 2.679 0.000
Mn 2.679 2.679 2.679
Sb 2.679 0.000 0.000

! MnNbSb2 | the Alexandria database | PBE-GGA | relaxed; values from VASP
! uncorrected formation energy = 0.651 eV/atom
&SYSTEM
  ibrav = 0, nat = 8, ntyp = 3
/
ATOMIC_SPECIES
Nb 92.91 Nb.upf
Sb 121.76 Sb.upf
Mn 54.94 Mn.upf
CELL_PARAMETERS angstrom
7.310 0.000 0.000
0.000 7.310 0.000
3.655 3.655 3.062
ATOMIC_POSITIONS angstrom
Nb 7.310 3.655 1.531
Sb 2.112 5.482 0.766
Nb 0.000 0.000 0.000
Sb 5.197 1.827 0.766
Sb 5.482 5.767 2.297
Mn 3.655 7.310 1.531
Mn 3.655 3.655 0.000
Sb 9.137 8.852 2.297

! ScMn2NbSb | the Alexandria database | PBE-GGA | relaxed; values from VASP
! uncorrected formation energy = 1.265 eV/atom
&SYSTEM
  ibrav = 0, nat = 5, ntyp = 4
/
ATOMIC_SPECIES
Mn 54.94 Mn.upf
Nb 92.91 Nb.upf
Sc 44.96 Sc.upf
Sb 121.76 Sb.upf
CELL_PARAMETERS angstrom
4.587 0.000 0.000
0.000 4.965 0.000
0.000 0.000 4.587
ATOMIC_POSITIONS angstrom
Mn 2.293 0.000 0.000
Mn 0.000 0.000 2.293
Nb 0.000 2.482 0.000
Sc 0.000 0.000 0.000
Sb 2.293 2.482 2.293

! MnNbTcSb | the Alexandria database | PBE-GGA | relaxed; values from VASP
! uncorrected formation energy = -0.068 eV/atom
&SYSTEM
  ibrav = 0, nat = 4, ntyp = 4
/
ATOMIC_SPECIES
Tc 98.00 Tc.upf
Sb 121.76 Sb.upf
Mn 54.94 Mn.upf
Nb 92.91 Nb.upf
CELL_PARAMETERS angstrom
-2.673 2.778 -2.240
-3.844 1.343 1.816
-0.469 4.221 1.358
ATOMIC_POSITIONS angstrom
Tc -1.747 2.086 0.234
Sb -3.493 4.171 0.467
Mn -5.240 6.257 0.701
Nb 0.000 0.000 0.000

! ScMn4Nb | the Alexandria database | PBE-GGA | relaxed; values from VASP
! formation energy = -0.147 eV per atom
&SYSTEM
  ibrav = 0, nat = 6, ntyp = 3
/
ATOMIC_SPECIES
Mn 54.94 Mn.upf
Sc 44.96 Sc.upf
Nb 92.91 Nb.upf
CELL_PARAMETERS angstrom
4.872 0.000 0.000
2.436 4.220 0.000
2.436 1.407 3.978
ATOMIC_POSITIONS angstrom
Mn 4.872 1.407 2.486
Sc 0.000 0.000 0.000
Mn 3.655 3.516 2.486
Nb 2.436 1.407 0.995
Mn 4.872 2.813 0.498
Mn 6.090 3.516 2.486

! ScMnNb2 | the Alexandria database | PBE-GGA | relaxed; values from VASP
! formation energy = 0.217 eV per atom
! excess energy over the best structure of this formula in the dataset = 0.124 eV/atom
&SYSTEM
  ibrav = 0, nat = 4, ntyp = 3
/
ATOMIC_SPECIES
Mn 54.94 Mn.upf
Sc 44.96 Sc.upf
Nb 92.91 Nb.upf
CELL_PARAMETERS angstrom
-0.734 -3.589 -2.697
-3.425 -2.856 0.897
-3.650 -0.097 -2.713
ATOMIC_POSITIONS angstrom
Mn -3.905 -3.271 -2.257
Sc 0.000 0.000 0.000
Nb -5.857 -4.907 -3.385
Nb -1.952 -1.636 -1.128

! Sc2MnNb | the Alexandria database | PBE-GGA | relaxed; values from VASP
! formation energy = 0.425 eV per atom
! excess energy over the best structure of this formula in the dataset = 0.000 eV/atom
&SYSTEM
  ibrav = 0, nat = 4, ntyp = 3
/
ATOMIC_SPECIES
Sc 44.96 Sc.upf
Nb 92.91 Nb.upf
Mn 54.94 Mn.upf
CELL_PARAMETERS angstrom
-0.722 3.809 9.434
2.186 3.086 9.472
1.312 5.720 8.342
ATOMIC_POSITIONS angstrom
Sc 2.515 11.428 24.686
Nb 0.000 0.000 0.000
Mn 1.388 6.307 13.624
Sc 0.261 1.186 2.562

! ScMnNb2 | the Alexandria database | PBE-GGA | relaxed; values from VASP
! formation energy = 0.093 eV per atom
! excess energy over the best structure of this formula in the dataset = 0.000 eV/atom
&SYSTEM
  ibrav = 0, nat = 4, ntyp = 3
/
ATOMIC_SPECIES
Nb 92.91 Nb.upf
Sc 44.96 Sc.upf
Mn 54.94 Mn.upf
CELL_PARAMETERS angstrom
3.080 0.000 0.000
0.000 3.080 0.000
0.000 0.000 7.337
ATOMIC_POSITIONS angstrom
Nb 0.000 0.000 1.509
Nb 0.000 0.000 5.828
Sc 1.540 1.540 3.669
Mn 1.540 1.540 0.000

! Sc2MnNb | the Alexandria database | PBE-GGA | relaxed; values from VASP
! formation energy = 0.426 eV per atom
! excess energy over the best structure of this formula in the dataset = 0.001 eV/atom
&SYSTEM
  ibrav = 0, nat = 4, ntyp = 3
/
ATOMIC_SPECIES
Nb 92.91 Nb.upf
Mn 54.94 Mn.upf
Sc 44.96 Sc.upf
CELL_PARAMETERS angstrom
0.000 3.301 3.301
3.301 0.000 3.301
3.301 3.301 0.000
ATOMIC_POSITIONS angstrom
Nb 3.301 3.301 3.301
Mn 0.000 0.000 0.000
Sc 1.650 1.650 1.650
Sc 4.951 4.951 4.951

! ScMnNb2 | the Alexandria database | PBE-GGA | relaxed; values from VASP
! formation energy = 0.382 eV per atom
! excess energy over the best structure of this formula in the dataset = 0.289 eV/atom
&SYSTEM
  ibrav = 0, nat = 8, ntyp = 3
/
ATOMIC_SPECIES
Sc 44.96 Sc.upf
Mn 54.94 Mn.upf
Nb 92.91 Nb.upf
CELL_PARAMETERS angstrom
7.270 0.000 0.000
0.000 7.270 0.000
3.635 3.635 2.787
ATOMIC_POSITIONS angstrom
Sc 3.635 7.270 1.393
Mn 0.000 0.000 0.000
Nb 5.850 1.818 0.697
Sc 3.635 3.635 0.000
Nb 9.088 9.485 2.090
Nb 5.453 5.055 2.090
Mn 7.270 3.635 1.393
Nb 1.420 5.453 0.697